The following is a DFT calculation (PBE-GGA) of an optimized crystal structure of La3Mn.

Cell and atoms, written as POSCAR:
```
La3Mn
1.0
-3.8030 -9.9918 -0.9108
-1.8631 -8.9095 5.6815
-0.3630 10.5986 -1.6333
La Mn
6 2
Direct
0.5000 0.0000 0.5000 La
0.1280 0.1280 0.0000 La
0.8720 0.8720 0.0000 La
0.7500 0.2500 0.5000 La
0.2500 0.7500 0.5000 La
0.0000 0.5000 0.5000 La
0.3739 0.3739 0.0000 Mn
0.6261 0.6261 0.0000 Mn
```

Electronic total energy, eV/atom: -5.733
E_form, kcal/mol of atoms: 5.88
Space group: No. 139